Entry 1:
In6Hg23Te | PBE | optimized geometry

Values from the calculation:
E_tot in Ry per atom: -0.06454
Energy relative to the elements, uncorrected in eV per atom: 0.006
Size of the total moment in μB/f.u.: 0.0

a = 10.5712 Å, b = 10.5713 Å, c = 10.5707 Å
α = 60.00°, β = 60.00°, γ = 60.00°
Fractional positions:
Hg  0.9216  0.3595  0.3595
Te  0.5000  0.5000  0.5000
Hg  0.6405  0.0784  0.6405
Hg  0.3595  0.3595  0.9216
Hg  0.1235  0.6296  0.1235
Hg  0.6405  0.6405  0.0784
In  0.7362  0.7362  0.2638
In  0.7362  0.2638  0.7362
Hg  0.6296  0.1235  0.1235
In  0.2638  0.7362  0.2638
Hg  0.3704  0.8765  0.8765
Hg  0.3595  0.3595  0.3595
Hg  0.3595  0.9216  0.3595
Hg  0.5000  0.0000  0.5000
Hg  0.0000  0.5000  0.0000
In  0.2638  0.2638  0.7362
Hg  0.0000  0.0000  0.0000
Hg  0.8765  0.8765  0.8765
In  0.2638  0.7362  0.7362
Hg  0.1235  0.1235  0.1235
Hg  0.6405  0.6405  0.6405
Hg  0.5000  0.0000  0.0000
Hg  0.5000  0.5000  0.0000
Hg  0.8765  0.8765  0.3704
Hg  0.8765  0.3704  0.8765
Hg  0.0000  0.0000  0.5000
Hg  0.1235  0.1235  0.6296
In  0.7362  0.2638  0.2638
Hg  0.0000  0.5000  0.5000
Hg  0.0784  0.6405  0.6405

Entry 2:
Zn2Ni2Bi | PBE | optimized geometry

Values from the calculation:
E_tot in Ry per atom: -0.25822
Size of the total moment in μB/f.u.: 0.0
Formation enthalpy at 0 K in eV per formula unit: 0.4
Excess energy over the best structure of this formula in the dataset in meV per atom: 55

a = 7.3646 Å, b = 7.3646 Å, c = 2.9193 Å
α = 90.00°, β = 90.00°, γ = 90.00°
Fractional positions:
Zn  0.8777  0.6223  0.0000
Bi  0.0000  0.0000  0.0000
Ni  0.6675  0.8325  0.5000
Ni  0.3325  0.1675  0.5000
Zn  0.6223  0.1223  0.0000
Zn  0.1223  0.3777  0.0000
Bi  0.5000  0.5000  0.0000
Zn  0.3777  0.8777  0.0000
Ni  0.1675  0.6675  0.5000
Ni  0.8325  0.3325  0.5000